# Na3ZrSn

Na3ZrSn after structural relaxation (PBE, Alexandria via LeMat-Bulk).

Properties
* calculated volume: 182.5 Å³ per cell
* calculated formation energy: 426 kJ/mol of formula units

Cell lengths 5.672, 5.672, 5.672 Å; angles 90.00, 90.00, 90.00 degrees
Sites, in units of the cell vectors:
1 Na 0.000 0.500 0.000
2 Na 0.000 0.000 0.500
3 Na 0.500 0.000 0.000
4 Sn 0.000 0.000 0.000
5 Zr 0.500 0.500 0.500